(1)
DFT (GGA-PBE) results for an optimized crystal structure of CaNb2InTe.

Cell: 5.124 5.552 5.124 Å, 90.00 90.00 90.00°
Element x y z (fractional)
Ca 0.000 0.500 0.000
In 0.500 0.500 0.500
Nb 0.000 0.000 0.500
Nb 0.500 0.000 0.000
Te 0.000 0.000 0.000

## Properties
For the total magnetization, the calculation gives 1.2 μB per formula unit. Its space-group type is No. 123. The value obtained for the total energy is -24.09 eV per formula unit.

(2)
DFT (GGA-PBE) results for an optimized crystal structure of LaMgAlPd3.

Cell: 5.899 6.866 7.058 Å, 119.11 90.00 90.00°
Element x y z (fractional)
La 0.750 0.300 0.600
Mg 0.750 0.041 0.082
Pd 0.750 0.823 0.646
Pd 0.000 0.703 0.000
Al 0.250 0.377 0.754
Pd 0.500 0.297 0.000
Al 0.750 0.623 0.246
Mg 0.250 0.959 0.918
Pd 0.500 0.703 0.000
Pd 0.250 0.177 0.354
La 0.250 0.700 0.400
Pd 0.000 0.297 0.000

## Properties
For the energy of formation, the calculation gives -0.57 eV per atom. For the total magnetization, the calculation gives 0.0 μB per formula unit. Its space-group type is No. 63. The value obtained for the total energy is -29.27 eV per formula unit.

(3)
DFT (GGA-PBE) results for an optimized crystal structure of ZrCdN2O.

Cell: 4.320 4.320 4.122 Å, 90.00 90.00 90.00°
Element x y z (fractional)
Cd 0.500 0.500 0.500
N 0.000 0.500 0.000
Zr 0.000 0.000 0.000
O 0.000 0.000 0.500
N 0.500 0.000 0.000

## Properties
For the total magnetization, the calculation gives 2.0 μB per formula unit. Its space-group type is No. 123. The value obtained for the total energy is -31.98 eV per formula unit.

(4)
DFT (GGA-PBE) results for an optimized crystal structure of Sc3Te.

Cell: 3.833 6.701 7.609 Å, 96.67 90.00 90.00°
Element x y z (fractional)
Sc 0.250 0.835 0.590
Sc 0.750 0.095 0.869
Sc 0.250 0.374 0.116
Sc 0.250 0.905 0.131
Te 0.250 0.339 0.689
Sc 0.750 0.165 0.410
Sc 0.750 0.626 0.884
Te 0.750 0.661 0.311

## Properties
For the total magnetization, the calculation gives 0.2 μB per formula unit. Its space-group type is No. 11. The value obtained for the total energy is -24.23 eV per formula unit.

(5)
DFT (GGA-PBE) results for an optimized crystal structure of Cs2AgSnS4.

Cell: 7.779 7.779 6.954 Å, 124.00 124.00 90.01°
Element x y z (fractional)
S 0.363 0.771 0.263
Ag 0.736 0.736 0.472
S 0.701 0.572 0.680
Cs 0.486 0.986 0.972
S 0.900 0.492 0.263
Sn 0.986 0.486 0.972
S 0.980 0.109 0.680
Cs 0.236 0.236 0.472

## Properties
For the total magnetization, the calculation gives 0.3 μB per formula unit. Its space-group type is No. 82. The value obtained for the total energy is -30.28 eV per formula unit.